Computed, not measured: a relaxed structure of BaSrIn2C at the PBE level of DFT.

Lattice parameters (Å, degrees): 5.2471 5.2471 5.2625 90.00 90.00 90.00
Positions (direct):
Ba (0.0000, 0.0000, 0.0000)
Sr (0.5000, 0.5000, 0.0000)
In (0.0000, 0.5000, 0.5000)
In (0.5000, 0.0000, 0.5000)
C (0.5000, 0.5000, 0.5000)

total magnetic moment	0.000	μB per atom
energy of formation from the pure elements	457	meV per atom
E_tot	-3.204	eV per atom
V	28.98	Å³/atom